Record 1
First-principles (PBE) data for a geometry-optimized Pm3In2Sn2 structure, as listed in the Alexandria database.

Cell and atoms, written as POSCAR:
```
Pm3In2Sn2
1.0
4.422 0.000 0.000
0.000 6.136 0.850
-2.211 -0.934 7.800
In Pm Sn
2 3 2
direct
0.091 0.486 0.183
0.909 0.514 0.817
0.282 0.741 0.564
0.718 0.259 0.436
0.000 0.000 0.000
0.633 0.793 0.266
0.367 0.207 0.734
```

Results
Space group = No. 12
Calculated volume = 30.735 Å³/atom
Formation energy = -51 kJ/mol of atoms

Record 2
First-principles (PBE) data for a geometry-optimized CsNd2AuS4 structure, as listed in the Alexandria database.

Cell and atoms, written as POSCAR:
```
CsNd2AuS4
1.0
-3.258 2.367 -1.179
-2.862 -5.581 4.172
1.572 8.098 11.911
S Cs Nd Au
8 2 4 2
direct
0.000 0.000 0.500
0.743 0.486 0.898
0.000 0.000 0.000
0.566 0.131 0.250
0.257 0.514 0.102
0.257 0.514 0.398
0.743 0.486 0.602
0.434 0.869 0.750
0.114 0.228 0.750
0.886 0.772 0.250
0.368 0.736 0.936
0.368 0.736 0.564
0.632 0.264 0.436
0.632 0.264 0.064
0.841 0.681 0.750
0.159 0.319 0.250
```

Results
Energy relative to the elements, uncorrected = -1532 meV/atom
Space group = No. 63
Calculated volume = 27.486 Å³/atom

Record 3
First-principles (PBE) data for a geometry-optimized CuSnTe6 structure, as listed in the Alexandria database.

Cell and atoms, written as POSCAR:
```
CuSnTe6
1.0
7.558 0.020 0.004
3.780 6.577 -0.016
3.770 2.193 4.895
Te Sn Cu
6 1 1
direct
0.572 0.190 0.256
0.428 0.810 0.744
0.982 0.573 0.256
0.191 0.982 0.256
0.809 0.018 0.744
0.018 0.427 0.744
0.500 0.500 0.500
0.000 0.000 0.000
```

Results
Energy relative to the elements, uncorrected = 65 meV/atom
Space group = No. 2
Calculated volume = 30.394 Å³/atom

Record 4
First-principles (PBE) data for a geometry-optimized CePm4Hg structure, as listed in the Alexandria database.

Cell and atoms, written as POSCAR:
```
CePm4Hg
1.0
5.276 0.000 -0.002
0.000 5.277 -0.003
0.004 0.005 7.557
Ce Pm Hg
1 4 1
direct
0.501 0.497 0.999
0.001 0.497 0.739
0.001 0.497 0.257
0.501 0.997 0.739
0.501 0.997 0.257
0.001 0.997 0.498
```

Results
Space group = No. 99
Calculated volume = 35.062 Å³/atom
Formation energy = 31 kJ/mol of atoms

Record 5
First-principles (PBE) data for a geometry-optimized Pr2EuY structure, as listed in the Alexandria database.

Cell and atoms, written as POSCAR:
```
Pr2EuY
1.0
5.202 0.000 0.000
0.000 5.250 0.000
0.000 0.000 5.250
Pr Y Eu
2 1 1
direct
0.000 0.500 0.000
0.000 0.000 0.500
0.500 0.000 0.000
0.500 0.500 0.500
```

Results
Space group = No. 123
Distance to the lowest polymorph of the same formula = 0.034 eV per atom
Calculated volume = 35.854 Å³/atom
Formation energy = 6 kJ/mol of atoms

Record 6
First-principles (PBE) data for a geometry-optimized ScAlFeTc structure, as listed in the Alexandria database.

Cell and atoms, written as POSCAR:
```
ScAlFeTc
1.0
-3.530 -0.509 2.556
-0.444 -3.625 2.432
0.400 0.224 4.364
Sc Fe Tc Al
1 1 1 1
direct
0.250 0.250 0.250
0.500 0.500 0.500
0.000 0.000 0.000
0.750 0.750 0.750
```

Results
Space group = No. 216
Calculated volume = 14.936 Å³/atom
Formation energy = -16 kJ/mol of atoms

Record 7
First-principles (PBE) data for a geometry-optimized BaMg2As structure, as listed in the Alexandria database.

Cell and atoms, written as POSCAR:
```
BaMg2As
1.0
-1.694 0.744 -3.329
-3.208 0.040 1.641
0.817 8.128 1.401
As Mg Ba
1 2 1
direct
0.500 0.500 0.250
0.000 0.000 0.076
0.000 0.000 0.424
0.500 0.500 0.750
```

Results
Space group = No. 47
Calculated volume = 28.443 Å³/atom
Formation energy = -17 kJ/mol of atoms

Record 8
First-principles (PBE) data for a geometry-optimized Ca6HgAu3 structure, as listed in the Alexandria database.

Cell and atoms, written as POSCAR:
```
Ca6HgAu3
1.0
-0.063 -3.714 -2.369
5.976 5.015 -8.021
7.984 -5.605 8.573
Au Ca Hg
6 12 2
direct
0.250 0.307 0.468
0.750 0.103 0.038
0.250 0.617 0.161
0.250 0.897 0.962
0.750 0.693 0.532
0.750 0.383 0.839
0.250 0.586 0.912
0.250 0.151 0.902
0.750 0.849 0.098
0.750 0.739 0.317
0.250 0.887 0.561
0.750 0.835 0.794
0.250 0.165 0.206
0.250 0.522 0.385
0.250 0.261 0.683
0.750 0.478 0.615
0.750 0.113 0.439
0.750 0.414 0.088
0.250 0.927 0.297
0.750 0.073 0.703
```

Results
Space group = No. 11
Calculated volume = 30.121 Å³/atom
Formation energy = -57 kJ/mol of atoms